Entry from the Alexandria database: an optimized crystal structure of NaGeI3 (PBE).

Calculated values
- magnetic moment (μB/atom) = 0.00
- symmetry = Pm-3m (221)
- total DFT energy (no corrections) (eV per atom) = -2.047
- offset from the most stable computed form (eV/atom) = 0.738
- energy relative to the elements, uncorrected (eV per atom) = 0.070

Lattice parameters (Å, degrees): 5.781 5.781 5.781 90.00 90.00 90.00
Fractional positions:
I 0.000 0.500 0.000
I 0.000 0.000 0.500
I 0.500 0.000 0.000
Na 0.000 0.000 0.000
Ge 0.500 0.500 0.500